Entry 1:
# PBE ZnHg2Pb2, optimized geometry
# **E_tot**: -8.6 eV/f.u.
# **Polymorph energy (0 for the lowest one)**: 84 meV/atom
# **DFT formation energy**: 0.73 eV per formula unit
data_ZnHg2Pb2
_cell_length_a 7.774
_cell_length_b 7.774
_cell_length_c 4.733
_cell_angle_alpha 90.00
_cell_angle_beta 90.00
_cell_angle_gamma 90.00
_space_group_name_H-M_alt 'P 4/m b m'
_space_group_IT_number 127
_space_group_name_Hall '-P 4 2ab'
loop_
_atom_site_label
_atom_site_type_symbol
_atom_site_fract_x
_atom_site_fract_y
_atom_site_fract_z
Zn1 Zn 0.000 0.000 0.000
Hg1 Hg 0.148 0.352 0.500
Pb1 Pb 0.161 0.661 0.000

---

Entry 2:
# PBE Tb3Sm2Al, optimized geometry
# **E_tot**: -27.6 eV/f.u.
# **DFT formation energy**: -0.50 eV per formula unit
data_Tb3Sm2Al
_cell_length_a 4.833
_cell_length_b 15.054
_cell_length_c 4.859
_cell_angle_alpha 90.00
_cell_angle_beta 90.00
_cell_angle_gamma 90.00
_space_group_name_H-M_alt 'C m m m'
_space_group_IT_number 65
_space_group_name_Hall '-C 2 2'
loop_
_atom_site_label
_atom_site_type_symbol
_atom_site_fract_x
_atom_site_fract_y
_atom_site_fract_z
Tb1 Tb 0.000 0.000 0.000
Tb2 Tb 0.000 0.338 0.000
Sm1 Sm 0.000 0.159 0.500
Al1 Al 0.000 0.500 0.500

---

Entry 3:
# PBE Cd3In6Hg2, optimized geometry
# **E_tot**: -19.5 eV/f.u.
# **Polymorph energy (0 for the lowest one)**: 0 meV/atom
# **DFT formation energy**: 0.31 eV per formula unit
data_Cd3In6Hg2
_cell_length_a 3.3587
_cell_length_b 3.3587
_cell_length_c 86.9482
_cell_angle_alpha 90.00
_cell_angle_beta 90.00
_cell_angle_gamma 120.00
_space_group_name_H-M_alt 'R -3 m'
_space_group_IT_number 166
_space_group_name_Hall '-R 3 2"'
loop_
_atom_site_label
_atom_site_type_symbol
_atom_site_fract_x
_atom_site_fract_y
_atom_site_fract_z
Cd1 Cd 0.0000 0.0000 0.0000
Cd2 Cd 0.0000 0.0000 0.2742
In1 In 0.0000 0.0000 0.0893
In2 In 0.0000 0.0000 0.1824
In3 In 0.0000 0.0000 0.3628
Hg1 Hg 0.0000 0.0000 0.4533

---

Entry 4:
# PBE SbRu2, optimized geometry
# **E_tot**: -22.2 eV/f.u.
# **Raw formation energy**: 0.174 eV/atom
data_SbRu2
_cell_length_a 10.630
_cell_length_b 2.994
_cell_length_c 6.579
_cell_angle_alpha 90.00
_cell_angle_beta 110.37
_cell_angle_gamma 90.00
_space_group_name_H-M_alt 'C 1 2/m 1'
_space_group_IT_number 12
_space_group_name_Hall '-C 2y'
loop_
_atom_site_label
_atom_site_type_symbol
_atom_site_fract_x
_atom_site_fract_y
_atom_site_fract_z
Sb1 Sb 0.185 0.000 0.167
Ru1 Ru 0.052 0.500 0.817
Ru2 Ru 0.128 0.000 0.521

---

Entry 5:
# PBE Pr7Tl2Te2, optimized geometry
# **E_tot**: -51.1 eV/f.u.
# **Raw formation energy**: -0.602 eV/atom
data_Pr7Tl2Te2
_cell_length_a 4.039
_cell_length_b 17.605
_cell_length_c 10.371
_cell_angle_alpha 90.00
_cell_angle_beta 90.00
_cell_angle_gamma 90.00
_space_group_name_H-M_alt 'I m m 2'
_space_group_IT_number 44
_space_group_name_Hall 'I 2 -2'
loop_
_atom_site_label
_atom_site_type_symbol
_atom_site_fract_x
_atom_site_fract_y
_atom_site_fract_z
Pr1 Pr 0.000 0.000 0.000
Pr2 Pr 0.000 0.112 0.434
Pr3 Pr 0.000 0.326 0.649
Pr4 Pr 0.000 0.349 0.253
Tl1 Tl 0.000 0.000 0.687
Tl2 Tl 0.000 0.500 0.756
Te1 Te 0.000 0.247 0.943

---

Entry 6:
# PBE CsRbTlPt, optimized geometry
# **E_tot**: -10.7 eV/f.u.
# **DFT formation energy**: -0.48 eV per formula unit
data_CsRbTlPt
_cell_length_a 8.351
_cell_length_b 4.819
_cell_length_c 10.060
_cell_angle_alpha 90.00
_cell_angle_beta 106.21
_cell_angle_gamma 90.00
_space_group_name_H-M_alt 'C 1 m 1'
_space_group_IT_number 8
_space_group_name_Hall 'C -2y'
loop_
_atom_site_label
_atom_site_type_symbol
_atom_site_fract_x
_atom_site_fract_y
_atom_site_fract_z
Cs1 Cs 0.000 0.000 0.000
Rb1 Rb 0.173 0.000 0.515
Tl1 Tl 0.256 0.500 0.268
Pt1 Pt 0.421 0.000 0.263

---

Entry 7:
# PBE Sc3Ga2Rh2, optimized geometry
# **E_tot**: -45.5 eV/f.u.
# **DFT formation energy**: -5.72 eV per formula unit
data_Sc3Ga2Rh2
_cell_length_a 5.475
_cell_length_b 7.086
_cell_length_c 13.171
_cell_angle_alpha 90.00
_cell_angle_beta 90.00
_cell_angle_gamma 90.00
_space_group_name_H-M_alt 'P b c m'
_space_group_IT_number 57
_space_group_name_Hall '-P 2c 2b'
loop_
_atom_site_label
_atom_site_type_symbol
_atom_site_fract_x
_atom_site_fract_y
_atom_site_fract_z
Sc1 Sc 0.115 0.230 0.250
Sc2 Sc 0.348 0.600 0.097
Ga1 Ga 0.198 0.250 0.000
Ga2 Ga 0.397 0.614 0.750
Rh1 Rh 0.128 0.559 0.595

---

Entry 8:
# PBE SrLi2Ru, optimized geometry
# **E_tot**: -13.0 eV/f.u.
# **Polymorph energy (0 for the lowest one)**: 74 meV/atom
# **DFT formation energy**: 1.76 eV per formula unit
data_SrLi2Ru
_cell_length_a 3.834
_cell_length_b 4.847
_cell_length_c 8.692
_cell_angle_alpha 90.00
_cell_angle_beta 90.00
_cell_angle_gamma 90.00
_space_group_name_H-M_alt 'I m m 2'
_space_group_IT_number 44
_space_group_name_Hall 'I 2 -2'
loop_
_atom_site_label
_atom_site_type_symbol
_atom_site_fract_x
_atom_site_fract_y
_atom_site_fract_z
Sr1 Sr 0.000 0.000 0.000
Li1 Li 0.000 0.000 0.528
Li2 Li 0.000 0.500 0.776
Ru1 Ru 0.000 0.500 0.234

---

Entry 9:
# PBE Zr2TlCo, optimized geometry
# **E_tot**: -26.0 eV/f.u.
# **DFT formation energy**: 0.61 eV per formula unit
data_Zr2TlCo
_cell_length_a 7.477
_cell_length_b 7.477
_cell_length_c 6.009
_cell_angle_alpha 90.00
_cell_angle_beta 90.00
_cell_angle_gamma 90.00
_space_group_name_H-M_alt 'I -4 2 d'
_space_group_IT_number 122
_space_group_name_Hall 'I -4 2bw'
loop_
_atom_site_label
_atom_site_type_symbol
_atom_site_fract_x
_atom_site_fract_y
_atom_site_fract_z
Zr1 Zr 0.192 0.750 0.125
Tl1 Tl 0.000 0.000 0.500
Co1 Co 0.000 0.000 0.000

---

Entry 10:
# PBE SrTlF2, optimized geometry
# **E_tot**: -17.6 eV/f.u.
# **Raw formation energy**: -2.455 eV/atom
# **Polymorph energy (0 for the lowest one)**: 257 meV/atom
data_SrTlF2
_cell_length_a 6.312
_cell_length_b 6.312
_cell_length_c 11.946
_cell_angle_alpha 90.00
_cell_angle_beta 90.00
_cell_angle_gamma 90.00
_space_group_name_H-M_alt 'I -4 2 d'
_space_group_IT_number 122
_space_group_name_Hall 'I -4 2bw'
loop_
_atom_site_label
_atom_site_type_symbol
_atom_site_fract_x
_atom_site_fract_y
_atom_site_fract_z
Sr1 Sr 0.000 0.000 0.000
Tl1 Tl 0.000 0.000 0.500
F1 F 0.131 0.250 0.125

---

Entry 11:
# PBE ZnTc3N, optimized geometry
# **E_tot**: -38.5 eV/f.u.
# **Raw formation energy**: 0.441 eV/atom
# **Polymorph energy (0 for the lowest one)**: 417 meV/atom
data_ZnTc3N
_cell_length_a 7.3206
_cell_length_b 7.3206
_cell_length_c 8.3687
_cell_angle_alpha 90.00
_cell_angle_beta 90.00
_cell_angle_gamma 120.00
_space_group_name_H-M_alt 'R -3 c'
_space_group_IT_number 167
_space_group_name_Hall '-R 3 2"c'
loop_
_atom_site_label
_atom_site_type_symbol
_atom_site_fract_x
_atom_site_fract_y
_atom_site_fract_z
Zn1 Zn 0.0000 0.0000 0.0000
Tc1 Tc 0.0000 0.2779 0.2500
N1 N 0.0000 0.0000 0.2500

---

Entry 12:
# PBE HgRuW3, optimized geometry
# **E_tot**: -39.0 eV/f.u.
# **Polymorph energy (0 for the lowest one)**: 0 meV/atom
# **DFT formation energy**: 9.41 eV per formula unit
data_HgRuW3
_cell_length_a 4.717
_cell_length_b 4.717
_cell_length_c 4.717
_cell_angle_alpha 90.00
_cell_angle_beta 90.00
_cell_angle_gamma 90.00
_space_group_name_H-M_alt 'P m -3 m'
_space_group_IT_number 221
_space_group_name_Hall '-P 4 2 3'
loop_
_atom_site_label
_atom_site_type_symbol
_atom_site_fract_x
_atom_site_fract_y
_atom_site_fract_z
Hg1 Hg 0.000 0.000 0.000
Ru1 Ru 0.500 0.500 0.500
W1 W 0.000 0.500 0.500

---

Q: Which of these has the lowest E_tot?
A: Pr7Tl2Te2

---

Q: Which value of E_tot does entry 11 give?
A: -38.5 eV/f.u.

---

Q: Which of these has the lowest E_tot?
A: Pr7Tl2Te2